The following is a PBE calculation of crystalline SbAs2Se at its relaxed geometry, from the Alexandria database.

ΔE_f (raw), meV/atom: 373
Energy above the lowest structure with this stoichiometry, eV per formula unit: 1.432
Total magnetization, μB per atom: 0.00

Cell and atoms, written as CIF:
```
data_SbAs2Se
_symmetry_space_group_name_H-M 'F m -3 m'
_symmetry_Int_Tables_number 225
_symmetry_space_group_name_Hall '-F 4 2 3'
_cell_length_a 6.9818
_cell_length_b 6.9818
_cell_length_c 6.9818
_cell_angle_alpha 90.00
_cell_angle_beta 90.00
_cell_angle_gamma 90.00
loop_
_atom_site_label
_atom_site_type_symbol
_atom_site_fract_x
_atom_site_fract_y
_atom_site_fract_z
Sb1 Sb 0.0000 0.0000 0.0000
As1 As 0.2500 0.2500 0.2500
Se1 Se 0.0000 0.0000 0.5000
```

---

The following is a PBE calculation of crystalline CoHN2 at its relaxed geometry, from the Alexandria database.

Energy above the lowest structure with this stoichiometry, eV per formula unit: 0.000
Total magnetization, μB per atom: 0.00

Cell and atoms, written as CIF:
```
data_CoHN2
_symmetry_space_group_name_H-M 'R -3 m'
_symmetry_Int_Tables_number 166
_symmetry_space_group_name_Hall '-R 3 2"'
_cell_length_a 2.8442
_cell_length_b 2.8442
_cell_length_c 13.3514
_cell_angle_alpha 90.00
_cell_angle_beta 90.00
_cell_angle_gamma 120.00
loop_
_atom_site_label
_atom_site_type_symbol
_atom_site_fract_x
_atom_site_fract_y
_atom_site_fract_z
Co1 Co 0.0000 0.0000 0.0000
H1 H 0.0000 0.0000 0.5000
N1 N 0.0000 0.0000 0.4057
```

---

The following is a PBE calculation of crystalline SrTlAs2O8 at its relaxed geometry, from the Alexandria database.

ΔE_f (raw), meV/atom: -1269
Total magnetization, μB per atom: 0.09

Cell and atoms, written as CIF:
```
data_SrTlAs2O8
_symmetry_space_group_name_H-M 'R 3 2'
_symmetry_Int_Tables_number 155
_symmetry_space_group_name_Hall 'R 3 2"'
_cell_length_a 5.1387
_cell_length_b 5.1387
_cell_length_c 22.9094
_cell_angle_alpha 90.00
_cell_angle_beta 90.00
_cell_angle_gamma 120.00
loop_
_atom_site_label
_atom_site_type_symbol
_atom_site_fract_x
_atom_site_fract_y
_atom_site_fract_z
Sr1 Sr 0.0000 0.0000 0.0000
Tl1 Tl 0.0000 0.0000 0.5000
As1 As 0.0000 0.0000 0.2493
O1 O 0.0000 0.0000 0.3245
O2 O 0.0031 0.3503 0.4374
```

---

The following is a PBE calculation of crystalline RbAc2La at its relaxed geometry, from the Alexandria database.

Formation enthalpy at 0 K, eV/f.u.: 0.73
Total magnetization, μB per atom: 0.00

Cell and atoms, written as CIF:
```
data_RbAc2La
_symmetry_space_group_name_H-M 'R -3 m'
_symmetry_Int_Tables_number 166
_symmetry_space_group_name_Hall '-R 3 2"'
_cell_length_a 3.9560
_cell_length_b 3.9560
_cell_length_c 42.9828
_cell_angle_alpha 90.00
_cell_angle_beta 90.00
_cell_angle_gamma 120.00
loop_
_atom_site_label
_atom_site_type_symbol
_atom_site_fract_x
_atom_site_fract_y
_atom_site_fract_z
Rb1 Rb 0.0000 0.0000 0.0000
Ac1 Ac 0.0000 0.0000 0.0952
La1 La 0.0000 0.0000 0.5000
```

---

The following is a PBE calculation of crystalline K2BaMo at its relaxed geometry, from the Alexandria database.

Energy above the lowest structure with this stoichiometry, eV per formula unit: 0.955
Formation enthalpy at 0 K, eV/f.u.: 4.88
Total magnetization, μB per atom: 1.18

Cell and atoms, written as CIF:
```
data_K2BaMo
_symmetry_space_group_name_H-M 'C m m m'
_symmetry_Int_Tables_number 65
_symmetry_space_group_name_Hall '-C 2 2'
_cell_length_a 5.9536
_cell_length_b 5.9678
_cell_length_c 11.7866
_cell_angle_alpha 90.00
_cell_angle_beta 90.00
_cell_angle_gamma 90.00
loop_
_atom_site_label
_atom_site_type_symbol
_atom_site_fract_x
_atom_site_fract_y
_atom_site_fract_z
K1 K 0.0000 0.0000 0.1910
Ba1 Ba 0.0000 0.5000 0.5000
Mo1 Mo 0.0000 0.5000 0.0000
```

---

The following is a PBE calculation of crystalline Ga2Ni5Rh at its relaxed geometry, from the Alexandria database.

Formation enthalpy at 0 K, eV/f.u.: -2.24
Total magnetization, μB per atom: 0.19

Cell and atoms, written as CIF:
```
data_Ga2Ni5Rh
_symmetry_space_group_name_H-M 'P b a m'
_symmetry_Int_Tables_number 55
_cell_length_a 5.1853
_cell_length_b 10.3439
_cell_length_c 3.5891
_cell_angle_alpha 90.00
_cell_angle_beta 90.00
_cell_angle_gamma 90.00
loop_
_symmetry_equiv_pos_as_xyz
'x,y,z'
'-x,-y,-z'
'-x,-y,z'
'x,y,-z'
'x+1/2,-y+1/2,-z'
'-x+1/2,y+1/2,z'
'-x+1/2,y+1/2,-z'
'x+1/2,-y+1/2,z'
loop_
_atom_site_label
_atom_site_type_symbol
_atom_site_fract_x
_atom_site_fract_y
_atom_site_fract_z
Ga1 Ga 0.2478 0.1272 0.0000
Ni1 Ni 0.0000 0.5000 0.5000
Ni2 Ni 0.0143 0.7468 0.5000
Ni3 Ni 0.2363 0.3712 0.0000
Rh1 Rh 0.0000 0.0000 0.5000
```

---

The following is a PBE calculation of crystalline TbEr3Sc3 at its relaxed geometry, from the Alexandria database.

Energy above the lowest structure with this stoichiometry, eV per formula unit: 0.000
Formation enthalpy at 0 K, eV/f.u.: 0.16
Total magnetization, μB per atom: 0.01

Cell and atoms, written as CIF:
```
data_TbEr3Sc3
_symmetry_space_group_name_H-M 'P 63/m'
_symmetry_Int_Tables_number 176
_symmetry_space_group_name_Hall '-P 6c'
_cell_length_a 9.1892
_cell_length_b 9.1892
_cell_length_c 5.4141
_cell_angle_alpha 90.00
_cell_angle_beta 90.00
_cell_angle_gamma 120.00
loop_
_atom_site_label
_atom_site_type_symbol
_atom_site_fract_x
_atom_site_fract_y
_atom_site_fract_z
Tb1 Tb 0.3333 0.6667 0.2500
Er1 Er 0.0478 0.8046 0.2500
Sc1 Sc 0.0958 0.6150 0.7500
```

---

The following is a PBE calculation of crystalline Hf2BAuN at its relaxed geometry, from the Alexandria database.

ΔE_f (raw), meV/atom: 1504
Total magnetization, μB per atom: 0.00

Cell and atoms, written as CIF:
```
data_Hf2BAuN
_symmetry_space_group_name_H-M 'P 4/m m m'
_symmetry_Int_Tables_number 123
_symmetry_space_group_name_Hall '-P 4 2'
_cell_length_a 5.1449
_cell_length_b 5.1449
_cell_length_c 3.8334
_cell_angle_alpha 90.00
_cell_angle_beta 90.00
_cell_angle_gamma 90.00
loop_
_atom_site_label
_atom_site_type_symbol
_atom_site_fract_x
_atom_site_fract_y
_atom_site_fract_z
Hf1 Hf 0.0000 0.5000 0.0000
B1 B 0.0000 0.0000 0.5000
Au1 Au 0.0000 0.0000 0.0000
N1 N 0.5000 0.5000 0.5000
```

---

The following is a PBE calculation of crystalline CrPdN3 at its relaxed geometry, from the Alexandria database.

ΔE_f (raw), meV/atom: 2235
Total magnetization, μB per atom: 0.00

Cell and atoms, written as CIF:
```
data_CrPdN3
_symmetry_space_group_name_H-M 'P m -3 m'
_symmetry_Int_Tables_number 221
_symmetry_space_group_name_Hall '-P 4 2 3'
_cell_length_a 3.8286
_cell_length_b 3.8286
_cell_length_c 3.8286
_cell_angle_alpha 90.00
_cell_angle_beta 90.00
_cell_angle_gamma 90.00
loop_
_atom_site_label
_atom_site_type_symbol
_atom_site_fract_x
_atom_site_fract_y
_atom_site_fract_z
Cr1 Cr 0.0000 0.0000 0.0000
Pd1 Pd 0.5000 0.5000 0.5000
N1 N 0.0000 0.5000 0.5000
```

---

The following is a PBE calculation of crystalline Tb2SmY3Tm6 at its relaxed geometry, from the Alexandria database.

Formation enthalpy at 0 K, eV/f.u.: 0.30
Total magnetization, μB per atom: 0.00

Cell and atoms, written as CIF:
```
data_Tb2SmY3Tm6
_symmetry_space_group_name_H-M 'C 1 2/m 1'
_symmetry_Int_Tables_number 12
_cell_length_a 6.1248
_cell_length_b 10.5957
_cell_length_c 11.6881
_cell_angle_alpha 90.00
_cell_angle_beta 100.03
_cell_angle_gamma 90.00
loop_
_symmetry_equiv_pos_as_xyz
'x,y,z'
'-x,-y,-z'
'-x,y,-z'
'x,-y,z'
'x+1/2,y+1/2,z'
'-x+1/2,-y+1/2,-z'
'-x+1/2,y+1/2,-z'
'x+1/2,-y+1/2,z'
loop_
_atom_site_label
_atom_site_type_symbol
_atom_site_fract_x
_atom_site_fract_y
_atom_site_fract_z
Tb1 Tb 0.0000 0.1667 0.0000
Sm1 Sm 0.0000 0.5000 0.0000
Y1 Y 0.0000 0.0000 0.5000
Y2 Y 0.0000 0.3332 0.5000
Tm1 Tm 0.2491 0.1668 0.7500
Tm2 Tm 0.2495 0.5000 0.7501
```

---

The following is a PBE calculation of crystalline Ce4NdTl at its relaxed geometry, from the Alexandria database.

Formation enthalpy at 0 K, eV/f.u.: 0.83
Total magnetization, μB per atom: 0.42

Cell and atoms, written as CIF:
```
data_Ce4NdTl
_symmetry_space_group_name_H-M 'F -4 3 m'
_symmetry_Int_Tables_number 216
_symmetry_space_group_name_Hall 'F -4 2 3'
_cell_length_a 8.8773
_cell_length_b 8.8773
_cell_length_c 8.8773
_cell_angle_alpha 90.00
_cell_angle_beta 90.00
_cell_angle_gamma 90.00
loop_
_atom_site_label
_atom_site_type_symbol
_atom_site_fract_x
_atom_site_fract_y
_atom_site_fract_z
Ce1 Ce 0.1138 0.1138 0.1138
Nd1 Nd 0.0000 0.0000 0.5000
Tl1 Tl 0.2500 0.2500 0.7500
```

---

The following is a PBE calculation of crystalline TmMg2SnPd4 at its relaxed geometry, from the Alexandria database.

Formation enthalpy at 0 K, eV/f.u.: -6.10
Total magnetization, μB per atom: 0.00

Cell and atoms, written as CIF:
```
data_TmMg2SnPd4
_symmetry_space_group_name_H-M 'R -3 m'
_symmetry_Int_Tables_number 166
_symmetry_space_group_name_Hall '-R 3 2"'
_cell_length_a 4.6836
_cell_length_b 4.6836
_cell_length_c 22.5456
_cell_angle_alpha 90.00
_cell_angle_beta 90.00
_cell_angle_gamma 120.00
loop_
_atom_site_label
_atom_site_type_symbol
_atom_site_fract_x
_atom_site_fract_y
_atom_site_fract_z
Tm1 Tm 0.0000 0.0000 0.0000
Mg1 Mg 0.0000 0.0000 0.2492
Sn1 Sn 0.0000 0.0000 0.5000
Pd1 Pd 0.0000 0.0000 0.1270
Pd2 Pd 0.0000 0.0000 0.3778
```